1.
An optimized crystal structure of AcLa2Tb, computed with PBE-GGA.

Distance to the lowest polymorph of the same formula (eV/f.u.): 0.09
Final energy (eV/cell): -18.43

Cell: 3.7781 3.7781 12.4470 Å, 81.27 81.27 60.00°
Closest atoms and distances in Å follow each position.
Element x y z (fractional)
Ac  0.4994  0.4994  0.5018  6 Ac 3.78, 6 La 3.85-3.90
La  0.0797  0.0797  0.7610  3 Tb 3.64, 6 La 3.78, 3 Ac 3.85
La  0.2540  0.2540  0.2379  3 Tb 3.65, 6 La 3.78, 3 Ac 3.90
Tb  0.6669  0.6669  0.9993  6 La 3.64-3.65, 6 Tb 3.78

2.
An optimized crystal structure of Nb6GaP, computed with PBE-GGA.

Final energy (eV/cell): -67.89

Cell: 5.9316 5.9343 6.0721 Å, 60.74 60.78 60.00°
Closest atoms and distances in Å follow each position.
Element x y z (fractional)
Nb  0.0087  0.4682  0.7543  1 P 2.44, 1 Ga 2.60
Nb  0.7685  0.0085  0.7545  1 P 2.44, 1 Ga 2.60
Nb  0.5320  0.2313  0.2456  1 P 2.44, 1 Ga 2.60
Nb  0.2315  0.9915  0.2455  1 P 2.44, 1 Ga 2.60
Nb  0.9913  0.5318  0.2457  1 P 2.44, 1 Ga 2.60
Nb  0.4680  0.7687  0.7544  1 P 2.44, 1 Ga 2.60
Ga  0.5000  0.5000  0.5000  6 Nb 2.60
P  0.0000  0.0000  0.0000  6 Nb 2.44